A plane-wave DFT calculation with PBE was carried out for a relaxed SmYTe crystal.

Unit cell a=16.689 b=4.055 c=11.206 alpha=90.00 beta=93.23 gamma=90.00
Space group C2/m (No. 12)
Inequivalent atoms, fractional coordinates:
Sm 0.024 0.000 0.352 [4 per cell]
Sm 0.114 0.500 0.837 [4 per cell]
Y 0.190 0.000 0.080 [4 per cell]
Y 0.250 0.000 0.662 [4 per cell]
Te 0.074 0.500 0.161 [4 per cell]
Te 0.117 0.500 0.542 [4 per cell]

Results
final energy	-5.55	eV per atom
crystal system	monoclinic
M_tot	0.005	μB per atom
V	31.544	Å³/atom

A plane-wave DFT calculation with PBE was carried out for a relaxed Nd2Ga3Ni4Ru crystal.

Unit cell a=4.040 b=4.040 c=10.347 alpha=90.00 beta=90.00 gamma=90.00
Space group P-4m2 (No. 115)
Inequivalent atoms, fractional coordinates:
Nd 0.000 0.500 0.248 [2 per cell]
Ga 0.000 0.000 0.000 [1 per cell]
Ga 0.000 0.500 0.626 [2 per cell]
Ni 0.000 0.000 0.500 [1 per cell]
Ni 0.000 0.500 0.861 [2 per cell]
Ni 0.500 0.500 0.500 [1 per cell]
Ru 0.500 0.500 0.000 [1 per cell]

Results
final energy	-5.54	eV per atom
crystal system	tetragonal
M_tot	0.000	μB per atom
V	16.886	Å³/atom